[1]
VASP calculation (GGA-PBE) on Ba2BSe after structural relaxation.

Cell: 7.409 7.409 7.409 Å, 113.81 113.81 101.11°
Positions (direct):
Ba: 0.106 0.625 0.981
Ba: 0.375 0.356 0.481
Ba: 0.644 0.125 0.019
Ba: 0.875 0.894 0.519
B: 0.000 0.000 0.000
B: 0.750 0.250 0.500
Se: 0.250 0.750 0.500
Se: 0.500 0.500 0.000

Results
For the total magnetization, the calculation gives 6.0 μB per cell. The calculation puts the formation energy without anion corrections at -18 kJ/mol of atoms. As for the space group: No. 122.

***

[2]
VASP calculation (GGA-PBE) on Ba3B2Se6 after structural relaxation.

Cell: 5.254 5.254 12.787 Å, 97.99 97.99 83.48°
Positions (direct):
Ba: 0.000 0.000 0.000
Ba: 0.158 0.158 0.352
Ba: 0.842 0.842 0.648
B: 0.247 0.247 0.761
B: 0.753 0.753 0.239
Se: 0.046 0.565 0.175
Se: 0.297 0.297 0.613
Se: 0.435 0.954 0.825
Se: 0.565 0.046 0.175
Se: 0.703 0.703 0.387
Se: 0.954 0.435 0.825

Results
For the total magnetization, the calculation gives 0.0 μB per cell. The calculation puts the formation energy without anion corrections at -113 kJ/mol of atoms. As for the space group: No. 12.

***

[3]
VASP calculation (GGA-PBE) on BaBSe2 after structural relaxation.

Cell: 7.115 7.115 5.436 Å, 90.00 90.00 90.00°
Positions (direct):
Ba: 0.000 0.500 0.000
Ba: 0.500 0.000 0.500
B: 0.000 0.000 0.250
B: 0.000 0.000 0.750
Se: 0.088 0.213 0.500
Se: 0.213 0.912 0.000
Se: 0.787 0.088 0.000
Se: 0.912 0.787 0.500

Results
For the total magnetization, the calculation gives 0.7 μB per cell. The calculation puts the formation energy without anion corrections at -50 kJ/mol of atoms. As for the space group: No. 84.

***

[4]
VASP calculation (GGA-PBE) on BaB2Se after structural relaxation.

Cell: 5.969 5.969 5.969 Å, 108.74 108.74 110.95°
Positions (direct):
Ba: 0.000 0.000 0.000
Ba: 0.750 0.250 0.500
B: 0.218 0.625 0.093
B: 0.375 0.468 0.593
B: 0.532 0.125 0.907
B: 0.875 0.782 0.407
Se: 0.250 0.750 0.500
Se: 0.500 0.500 0.000

Results
For the total magnetization, the calculation gives 0.0 μB per cell. The calculation puts the formation energy without anion corrections at 82 kJ/mol of atoms. As for the space group: No. 122.

***

[5]
VASP calculation (GGA-PBE) on BaBSe2 after structural relaxation.

Cell: 7.169 7.169 7.169 Å, 43.04 43.04 43.04°
Positions (direct):
Ba: 0.000 0.000 0.000
B: 0.500 0.500 0.500
Se: 0.404 0.404 0.404
Se: 0.596 0.596 0.596

Results
For the total magnetization, the calculation gives 1.0 μB per cell. The calculation puts the formation energy without anion corrections at -46 kJ/mol of atoms. As for the space group: No. 166.

***

[6]
VASP calculation (GGA-PBE) on BaTaB2Se8 after structural relaxation.

Cell: 6.235 6.235 8.257 Å, 90.00 90.00 120.00°
Positions (direct):
Ba: 0.000 0.000 0.000
Ta: 0.000 0.000 0.500
B: 0.333 0.667 0.734
B: 0.667 0.333 0.266
Se: 0.006 0.357 0.661
Se: 0.333 0.667 0.981
Se: 0.350 0.994 0.661
Se: 0.357 0.350 0.339
Se: 0.643 0.650 0.661
Se: 0.650 0.006 0.339
Se: 0.667 0.333 0.019
Se: 0.994 0.643 0.339

Results
For the total magnetization, the calculation gives 0.0 μB per cell. The calculation puts the formation energy without anion corrections at -41 kJ/mol of atoms. As for the space group: No. 147.

***

- Among the records above, which one has the highest formation energy without anion corrections?
  BaB2Se

***

- Which value of formation energy without anion corrections does entry 6 give?
  -41 kJ/mol of atoms

***

- What is the formation energy without anion corrections in the fourth record?
  82 kJ/mol of atoms